Density functional theory data (GGA-PBE) for a geometry-optimized Ti5V2Ge structure.

Cell lengths 7.3827, 7.3827, 7.3827 Å; angles 125.88, 125.88, 80.08 degrees
Positions (direct):
Ti 0.0000 0.0000 0.0000
Ti 0.0031 0.5031 0.1928
Ti 0.1897 0.9969 0.5000
Ti 0.3103 0.8103 0.8072
Ti 0.4969 0.6897 0.5000
Ti 0.5000 0.5000 0.0000
Ti 0.5031 0.3103 0.5000
Ti 0.6897 0.1897 0.1928
Ti 0.8103 0.0031 0.5000
Ti 0.9969 0.4969 0.8072
V 0.1512 0.3488 0.5000
V 0.3488 0.8488 0.1976
V 0.6512 0.1512 0.8024
V 0.8488 0.6512 0.5000
Ge 0.2500 0.2500 0.0000
Ge 0.7500 0.7500 0.0000

Results
Electronic total energy ... -7.864 eV per atom

***

Density functional theory data (GGA-PBE) for a geometry-optimized Ac2LaPd2 structure.

Cell lengths 8.3457, 8.3457, 4.2714 Å; angles 90.00, 90.00, 90.00 degrees
Positions (direct):
Ac 0.1679 0.3321 0.0000
Ac 0.3321 0.8321 0.0000
Ac 0.6679 0.1679 0.0000
Ac 0.8321 0.6679 0.0000
La 0.0000 0.0000 0.5000
La 0.5000 0.5000 0.5000
Pd 0.1289 0.6289 0.5000
Pd 0.3711 0.1289 0.5000
Pd 0.6289 0.8711 0.5000
Pd 0.8711 0.3711 0.5000

Results
Distance to the lowest polymorph of the same formula ... 0.000 eV/atom
Electronic total energy ... -5.349 eV per atom

***

Density functional theory data (GGA-PBE) for a geometry-optimized Y3C5 structure.

Cell lengths 5.5230, 5.5230, 3.7981 Å; angles 90.00, 90.00, 109.11 degrees
Positions (direct):
Y 0.0000 0.0000 0.0000
Y 0.3091 0.6909 0.5000
Y 0.6909 0.3091 0.5000
C 0.0000 0.5000 0.0000
C 0.2279 0.2279 0.5000
C 0.5000 0.0000 0.0000
C 0.5000 0.5000 0.0000
C 0.7721 0.7721 0.5000

Results
Distance to the lowest polymorph of the same formula ... 1.397 eV/atom
Electronic total energy ... -7.006 eV per atom

***

Density functional theory data (GGA-PBE) for a geometry-optimized Ti4Pb2N structure.

Cell lengths 7.4011, 10.5327, 3.2227 Å; angles 90.00, 90.00, 90.00 degrees
Positions (direct):
Ti 0.1243 0.1734 0.0000
Ti 0.1596 0.9327 0.5000
Ti 0.3404 0.4327 0.5000
Ti 0.3757 0.6734 0.0000
Ti 0.6243 0.3266 0.0000
Ti 0.6596 0.5673 0.5000
Ti 0.8404 0.0673 0.5000
Ti 0.8757 0.8266 0.0000
Pb 0.0562 0.6431 0.5000
Pb 0.4438 0.1431 0.5000
Pb 0.5562 0.8569 0.5000
Pb 0.9438 0.3569 0.5000
N 0.0000 0.0000 0.0000
N 0.5000 0.5000 0.0000

Results
ΔE_f (raw) ... -50 kJ/mol of atoms
Distance to the lowest polymorph of the same formula ... 0.035 eV/atom
Electronic total energy ... -7.276 eV per atom